The following is a DFT calculation (PBE) of a relaxed Dy2InSe5 crystal.

It has space group Cmcm (No. 63), with a = 5.6907 Å, b = 14.0805 Å, c = 12.7245 Å, α = 90.00°, β = 90.00° and γ = 90.00°. The inequivalent atoms are Dy at (0.0000, 0.1650, 0.0682), In at (0.0000, 0.1836, 0.7500), Se at (0.0000, 0.0331, 0.6039), Se at (0.0000, 0.2827, 0.2500) and Se at (0.0000, 0.3116, 0.5853).

As for the total energy: -155.29 eV for the cell shown. Its crystal system is orthorhombic. The calculation puts the uncorrected formation energy at -1182 meV per atom. For the density of states at the Fermi level, the calculation gives 21.80 states/eV/cell.

=====

The following is a DFT calculation (PBE) of a relaxed MgZr2Re crystal.

It has space group P4/mmm (No. 123), with a = 3.3798 Å, b = 3.3798 Å, c = 7.0389 Å, α = 90.00°, β = 90.00° and γ = 90.00°. The inequivalent atoms are Mg at (0.0000, 0.0000, 0.0000), Zr at (0.5000, 0.5000, 0.2769) and Re at (0.0000, 0.0000, 0.5000).

As for the total energy: -31.63 eV for the cell shown. Its crystal system is tetragonal. As for the formation energy: -124 meV/atom. For the density of states at the Fermi level, the calculation gives 3.47 states/eV/cell.

=====

Values of calculated density, in order: 5.4, 8.1, all in g/cm³.